No. 1
Material: Zn2InOsPd
Method: DFT, GGA-PBE
State: relaxed

Lattice parameters (Å, degrees): 4.8697 4.8446 4.8697 90.00 90.00 90.00
Closest atoms and distances in Å follow each position.
Element x y z (fractional)
Os: 0.0000 0.0000 0.0000  2 Pd 2.42, 4 Zn 2.43
Pd: 0.0000 0.5000 0.0000  2 Os 2.42
Zn: 0.5000 0.0000 0.0000  2 Os 2.43
Zn: 0.0000 0.0000 0.5000  2 Os 2.43
In: 0.5000 0.5000 0.5000  8 Zn 3.43, 4 Pd 3.44

Computed properties:
total moment	0.00	μB per formula unit
energy of formation	3.6	eV per formula unit
uncorrected energy	-3.621	eV per atom

***

No. 2
Material: Co2CuH2
Method: DFT, GGA-PBE
State: relaxed

Lattice parameters (Å, degrees): 5.4633 5.4633 2.6404 90.00 90.00 90.00
Closest atoms and distances in Å follow each position.
Element x y z (fractional)
Co: 0.3468 0.1532 0.5000  2 H 1.76
Co: 0.1532 0.6532 0.5000  2 H 1.76
Co: 0.6532 0.8468 0.5000  2 H 1.76
Co: 0.8468 0.3468 0.5000  2 H 1.76
H: 0.8043 0.6957 0.0000  2 Co 1.76
H: 0.3043 0.8043 0.0000  2 Co 1.76
H: 0.1957 0.3043 0.0000  2 Co 1.76
H: 0.6957 0.1957 0.0000  2 Co 1.76
Cu: 0.0000 0.0000 0.0000  4 H 1.98
Cu: 0.5000 0.5000 0.0000  4 H 1.98

Computed properties:
total moment	2.28	μB per formula unit
uncorrected energy	-4.682	eV per atom

***

> Among the records above, which one has the lowest uncorrected energy?

Co2CuH2

***

> uncorrected energy of number 1 (Zn2InOsPd)?

-3.621 eV per atom